Computed, not measured: a geometry-optimized Dy4CdIr2Ru structure at the PBE level of DFT.

The structure belongs to space group R-3m (No. 166, hexagonal axes); the cell edges are 4.9189, 4.9189 and 24.2577 Å and the angles 90.00°, 90.00° and 120.00°. Symmetry generates all atoms from Dy at (0.0000, 0.0000, 0.1188), Dy at (0.0000, 0.0000, 0.3708), Cd at (0.0000, 0.0000, 0.5000), Ir at (0.0000, 0.0000, 0.2490) and Ru at (0.0000, 0.0000, 0.0000).

For the energy of formation from the pure elements, the calculation gives -57.7 kJ/mol of atoms.